# Mo2AsAu PBE optimized geometry
# ΔH_f (0 K)	0.3628	eV per atom
# magnetic moment	0.00	μB/f.u.
# uncorrected energy	-7.03	eV/atom
# DOS(E_F)	6.5	states/eV/cell
# density	11.70	g/cm³
data_Mo2AsAu
_chemical_formula_sum 'Mo4 As2 Au2'
_symmetry_space_group_name_H-M 'C 1 2/m 1'
_symmetry_Int_Tables_number 12
_cell_length_a 5.5196
_cell_length_b 8.6270
_cell_length_c 2.8488
_cell_angle_alpha 90.00
_cell_angle_beta 104.05
_cell_angle_gamma 90.00
loop_
_symmetry_equiv_pos_as_xyz
'x,y,z'
'-x,-y,-z'
'-x,y,-z'
'x,-y,z'
'x+1/2,y+1/2,z'
'-x+1/2,-y+1/2,-z'
'-x+1/2,y+1/2,-z'
'x+1/2,-y+1/2,z'
loop_
_atom_site_label
_atom_site_fract_x
_atom_site_fract_y
_atom_site_fract_z
Mo1 0.2500 0.2500 0.0000
As1 0.0000 0.0000 0.5000
Au1 0.0000 0.5000 0.5000



# Mo2AsAu PBE optimized geometry
# ΔH_f (0 K)	0.2446	eV per atom
# magnetic moment	0.00	μB/f.u.
# uncorrected energy	-7.15	eV/atom
# DOS(E_F)	7.3	states/eV/cell
# density	11.91	g/cm³
data_Mo2AsAu
_chemical_formula_sum 'Mo4 As2 Au2'
_symmetry_space_group_name_H-M 'I m m 2'
_symmetry_Int_Tables_number 44
_cell_length_a 3.1840
_cell_length_b 4.5056
_cell_length_c 9.0167
_cell_angle_alpha 90.00
_cell_angle_beta 90.00
_cell_angle_gamma 90.00
loop_
_symmetry_equiv_pos_as_xyz
'x,y,z'
'-x,-y,z'
'-x,y,z'
'x,-y,z'
'x+1/2,y+1/2,z+1/2'
'-x+1/2,-y+1/2,z+1/2'
'-x+1/2,y+1/2,z+1/2'
'x+1/2,-y+1/2,z+1/2'
loop_
_atom_site_label
_atom_site_fract_x
_atom_site_fract_y
_atom_site_fract_z
Mo1 0.0000 0.0000 0.0000
Mo2 0.0000 0.5000 0.2369
As1 0.0000 0.5000 0.7210
Au1 0.0000 0.0000 0.4633



The calculation returns the following calculated volume values, one per record and in order: 16.45 16.17 A^3/atom.